No. 1
Here is crystalline Sr2CaCeO5 at its relaxed geometry from the Alexandria database. Energies are from PBE.

Properties
Raw formation energy, eV per atom: -2.922
Magnetic moment, μB/f.u.: 0.064
Symmetry: Cmc2_1

abc: 3.698 7.151 12.267
angles: 90.00 90.00 104.98
Positions (direct):
1 Sr 0.836 0.671 0.755
2 Sr 0.082 0.165 0.674
3 Sr 0.164 0.329 0.255
4 Sr 0.918 0.835 0.174
5 Ca 0.752 0.505 0.515
6 Ca 0.248 0.495 0.015
7 Ce 0.546 0.092 0.954
8 Ce 0.454 0.908 0.454
9 O 0.409 0.818 0.037
10 O 0.700 0.399 0.897
11 O 0.483 0.965 0.791
12 O 0.257 0.513 0.652
13 O 0.923 0.846 0.549
14 O 0.591 0.182 0.537
15 O 0.300 0.601 0.397
16 O 0.517 0.035 0.291
17 O 0.743 0.487 0.152
18 O 0.077 0.154 0.049

No. 2
Here is crystalline AlZn7Ga4 at its relaxed geometry from the Alexandria database. Energies are from PBE.

Properties
DOS(E_F), states/eV per atom: 0.37
Magnetic moment, μB/f.u.: 0.000
Symmetry: P-3m1
DFT formation energy, eV/atom: 0.027

abc: 2.946 2.946 26.250
angles: 90.00 90.00 120.00
Positions (direct):
1 Al 0.000 0.000 0.500
2 Zn 0.000 0.000 0.000
3 Zn 0.333 0.667 0.418
4 Zn 0.667 0.333 0.582
5 Zn 0.333 0.667 0.168
6 Zn 0.667 0.333 0.832
7 Zn 0.000 0.000 0.751
8 Zn 0.000 0.000 0.249
9 Ga 0.333 0.667 0.916
10 Ga 0.667 0.333 0.084
11 Ga 0.333 0.667 0.667
12 Ga 0.667 0.333 0.333

No. 3
Here is crystalline BeCuMo3 at its relaxed geometry from the Alexandria database. Energies are from PBE.

Properties
DOS(E_F), states/eV per atom: 0.95
Magnetic moment, μB/f.u.: 0.000
Symmetry: Pm-3m
DFT formation energy, eV/atom: 1.822
ΔE to the lowest computed polymorph, meV/atom: 986

abc: 4.478 4.478 4.478
angles: 90.00 90.00 90.00
Positions (direct):
1 Be 0.500 0.500 0.500
2 Mo 0.000 0.500 0.000
3 Mo 0.000 0.000 0.500
4 Mo 0.500 0.000 0.000
5 Cu 0.000 0.000 0.000

Please write out number 3 again, unchanged.
Here is crystalline BeCuMo3 at its relaxed geometry from the Alexandria database. Energies are from PBE.

Properties
DOS(E_F), states/eV per atom: 0.95
Magnetic moment, μB/f.u.: 0.000
Symmetry: Pm-3m
DFT formation energy, eV/atom: 1.822
ΔE to the lowest computed polymorph, meV/atom: 986

abc: 4.478 4.478 4.478
angles: 90.00 90.00 90.00
Positions (direct):
1 Be 0.500 0.500 0.500
2 Mo 0.000 0.500 0.000
3 Mo 0.000 0.000 0.500
4 Mo 0.500 0.000 0.000
5 Cu 0.000 0.000 0.000